VASP calculation (GGA-PBE) on TlAs2HSe after structural relaxation.

Geometry as POSCAR:
```
TlAs2HSe
1.0
5.450 0.000 0.000
0.000 5.450 0.000
0.000 0.000 5.517
H Tl As Se
1 1 2 1
Cartesian
2.725 2.725 2.759
0.000 0.000 0.000
0.000 2.725 0.000
2.725 0.000 0.000
0.000 0.000 2.759
```

Results
Its excess energy over the best structure of this formula in the dataset is 918 meV per atom. The total energy is -2.30 eV/atom. The calculated density is 4.40 g/cm3. As for the density of states at the Fermi level: 0.98 states/eV per atom.